A relaxed DyPbWO6 crystal. Source: Alexandria, functional PBE+U.

Summary:
Raw total energy   -7.136 eV per atom
Volume   14.81 Å³ per atom

Lattice parameters (Å, degrees): 5.621 5.621 4.873 90.00 90.00 120.00
Element x y z (fractional)
Dy 0.000 0.000 0.000
Pb 0.667 0.333 0.500
W 0.333 0.667 0.000
O 0.047 0.372 0.222
O 0.047 0.675 0.778
O 0.325 0.372 0.778
O 0.325 0.953 0.222
O 0.628 0.675 0.222
O 0.628 0.953 0.778